1.
VASP calculation (PBE-GGA) on an optimized crystal structure of ZnBi.

a b c (Å): 4.290 4.210 5.718
angles (deg): 90.00 110.49 90.00
Fractional positions:
Zn1 0.082 0.250 0.149
Zn2 0.918 0.750 0.851
Bi1 0.343 0.250 0.698
Bi2 0.657 0.750 0.302

Results
Space-group type ... P2_1/m, No. 11
Calculated total energy ... -2.44 eV per atom
Size of the total moment ... 0.00 μB/f.u.

=====

2.
VASP calculation (PBE-GGA) on an optimized crystal structure of ZnBi.

a b c (Å): 7.811 7.811 7.811
angles (deg): 90.00 90.00 90.00
Fractional positions:
Zn1 0.000 0.250 0.500
Zn2 0.000 0.750 0.500
Zn3 0.250 0.500 0.000
Zn4 0.500 0.000 0.250
Zn5 0.500 0.000 0.750
Zn6 0.750 0.500 0.000
Bi1 0.000 0.500 0.250
Bi2 0.000 0.500 0.750
Bi3 0.250 0.000 0.500
Bi4 0.500 0.250 0.000
Bi5 0.500 0.750 0.000
Bi6 0.750 0.000 0.500

Results
Space-group type ... Pm-3n, No. 223
Calculated total energy ... -2.24 eV per atom
Size of the total moment ... 0.00 μB/f.u.

=====

3.
VASP calculation (PBE-GGA) on an optimized crystal structure of Zn2Bi.

a b c (Å): 5.619 5.619 5.619
angles (deg): 60.00 60.00 60.00
Fractional positions:
Zn1 0.000 0.000 0.000
Zn2 0.000 0.000 0.500
Zn3 0.000 0.500 0.000
Zn4 0.500 0.000 0.000
Bi1 0.375 0.375 0.375
Bi2 0.625 0.625 0.625

Results
Space-group type ... Fd-3m, No. 227
Calculated total energy ... -2.01 eV per atom
Size of the total moment ... 0.00 μB/f.u.

=====

4.
VASP calculation (PBE-GGA) on an optimized crystal structure of ZnBi.

a b c (Å): 9.461 9.461 4.255
angles (deg): 90.00 90.00 120.00
Fractional positions:
Zn1 0.156 0.529 0.250
Zn2 0.373 0.844 0.250
Zn3 0.471 0.627 0.250
Zn4 0.529 0.373 0.750
Zn5 0.627 0.156 0.750
Zn6 0.844 0.471 0.750
Bi1 0.007 0.280 0.750
Bi2 0.273 0.993 0.750
Bi3 0.280 0.273 0.250
Bi4 0.720 0.727 0.750
Bi5 0.727 0.007 0.250
Bi6 0.993 0.720 0.250

Results
Space-group type ... P6_3/m, No. 176
Calculated total energy ... -2.40 eV per atom
Size of the total moment ... 0.00 μB/f.u.

=====

5.
VASP calculation (PBE-GGA) on an optimized crystal structure of ZnBi.

a b c (Å): 4.154 4.154 4.154
angles (deg): 60.00 60.00 60.00
Fractional positions:
Zn1 0.000 0.000 0.000
Bi1 0.500 0.500 0.500

Results
Space-group type ... Fm-3m, No. 225
Calculated total energy ... -2.40 eV per atom
Size of the total moment ... 0.00 μB/f.u.

=====

6.
VASP calculation (PBE-GGA) on an optimized crystal structure of Zn3Bi.

a b c (Å): 4.342 4.342 4.342
angles (deg): 90.00 90.00 90.00
Fractional positions:
Zn1 0.000 0.000 0.500
Zn2 0.000 0.500 0.000
Zn3 0.500 0.000 0.000
Bi1 0.500 0.500 0.500

Results
Space-group type ... Pm-3m, No. 221
Calculated total energy ... -1.70 eV per atom
Size of the total moment ... 0.00 μB/f.u.

=====

7.
VASP calculation (PBE-GGA) on an optimized crystal structure of ZnBi.

a b c (Å): 4.481 4.481 4.481
angles (deg): 60.00 60.00 60.00
Fractional positions:
Zn1 0.000 0.000 0.000
Bi1 0.750 0.750 0.750

Results
Space-group type ... F-43m, No. 216
Calculated total energy ... -2.33 eV per atom
Size of the total moment ... 0.00 μB/f.u.

=====

8.
VASP calculation (PBE-GGA) on an optimized crystal structure of ZnBi.

a b c (Å): 7.399 7.399 7.399
angles (deg): 94.59 94.59 147.13
Fractional positions:
Zn1 0.009 0.368 0.377
Zn2 0.368 0.991 0.359
Zn3 0.632 0.009 0.641
Zn4 0.991 0.632 0.623
Bi1 0.298 0.624 0.923
Bi2 0.376 0.298 0.674
Bi3 0.624 0.702 0.326
Bi4 0.702 0.376 0.077

Results
Space-group type ... I4/m, No. 87
Calculated total energy ... -2.44 eV per atom
Size of the total moment ... 0.00 μB/f.u.

=====

9.
VASP calculation (PBE-GGA) on an optimized crystal structure of ZnBi.

a b c (Å): 7.528 7.528 7.528
angles (deg): 109.47 109.47 109.47
Fractional positions:
Zn1 0.000 0.000 0.685
Zn2 0.000 0.685 0.000
Zn3 0.315 0.315 0.315
Zn4 0.685 0.000 0.000
Bi1 0.000 0.000 0.329
Bi2 0.000 0.329 0.000
Bi3 0.329 0.000 0.000
Bi4 0.671 0.671 0.671

Results
Space-group type ... I-43m, No. 217
Calculated total energy ... -2.20 eV per atom
Size of the total moment ... 0.00 μB/f.u.

=====

10.
VASP calculation (PBE-GGA) on an optimized crystal structure of ZnBi.

a b c (Å): 10.013 8.643 6.545
angles (deg): 81.21 58.55 40.24
Fractional positions:
Zn1 0.094 0.656 0.094
Zn2 0.344 0.906 0.344
Zn3 0.656 0.094 0.656
Zn4 0.906 0.344 0.906
Bi1 0.263 0.263 0.487
Bi2 0.487 0.487 0.263
Bi3 0.513 0.513 0.737
Bi4 0.737 0.737 0.513

Results
Space-group type ... Fddd, No. 70
Calculated total energy ... -2.30 eV per atom
Size of the total moment ... 0.00 μB/f.u.

=====

11.
VASP calculation (PBE-GGA) on an optimized crystal structure of Zn4Bi.

a b c (Å): 5.751 5.751 5.751
angles (deg): 90.00 90.00 90.00
Fractional positions:
Zn1 0.000 0.000 0.000
Zn2 0.000 0.500 0.500
Zn3 0.500 0.000 0.500
Zn4 0.500 0.500 0.000
Bi1 0.500 0.500 0.500

Results
Space-group type ... Pm-3m, No. 221
Calculated total energy ... -1.17 eV per atom
Size of the total moment ... 0.00 μB/f.u.

=====

12.
VASP calculation (PBE-GGA) on an optimized crystal structure of Zr6ZnBi3.

a b c (Å): 8.915 8.915 6.879
angles (deg): 90.00 90.00 109.37
Fractional positions:
Zr1 0.027 0.973 0.500
Zr2 0.083 0.592 0.536
Zr3 0.257 0.394 0.095
Zr4 0.258 0.742 0.128
Zr5 0.394 0.257 0.595
Zr6 0.408 0.917 0.536
Zr7 0.592 0.083 0.036
Zr8 0.606 0.743 0.095
Zr9 0.742 0.258 0.628
Zr10 0.743 0.606 0.595
Zr11 0.917 0.408 0.036
Zr12 0.973 0.027 0.000
Zn1 0.151 0.849 0.791
Zn2 0.849 0.151 0.291
Bi1 0.089 0.290 0.715
Bi2 0.290 0.089 0.215
Bi3 0.416 0.584 0.444
Bi4 0.584 0.416 0.944
Bi5 0.710 0.911 0.715
Bi6 0.911 0.710 0.215

Results
Space-group type ... Cmc2_1, No. 36
Calculated total energy ... -6.44 eV per atom
Size of the total moment ... 0.00 μB/f.u.

=====

| no. | energy relative to the elements (eV/atom) |
| --- | --- |
| 1 | 0.13 |
| 2 | 0.33 |
| 3 | 0.14 |
| 4 | 0.18 |
| 5 | 0.17 |
| 6 | 0.22 |
| 7 | 0.24 |
| 8 | 0.14 |
| 9 | 0.37 |
| 10 | 0.27 |
| 11 | 0.62 |
| 12 | -0.02 |